# CsGaN2 (GGA-PBE, relaxed)
# **Total magnetization**: 2.000 μB/f.u.
# **Total DFT energy (no corrections)**: -16.7 eV/cell
# **Formation energy from raw total energies**: 0.960 eV/atom
data_CsGaN2
_chemical_formula_sum 'Cs1 Ga1 N2'
_symmetry_space_group_name_H-M 'P 1'
_symmetry_Int_Tables_number 1
_cell_length_a 7.4666
_cell_length_b 7.4666
_cell_length_c 7.4666
_cell_angle_alpha 36.77
_cell_angle_beta 36.77
_cell_angle_gamma 36.77
loop_
_symmetry_equiv_pos_as_xyz
'x,y,z'
loop_
_atom_site_label
_atom_site_type_symbol
_atom_site_fract_x
_atom_site_fract_y
_atom_site_fract_z
Cs1 Cs 0.5000 0.5000 0.5000
Ga1 Ga 0.0000 0.0000 0.0000
N1 N 0.9160 0.9160 0.9160
N2 N 0.0840 0.0840 0.0840